Arrangement 1

DFT (PBE) results for a geometry-optimized Zr3TaTc structure.

Cell: 5.015 5.015 5.015 Å, 90.00 90.00 90.00°
Fractional positions:
Zr 0.000 0.000 0.500
Zr 0.000 0.500 0.000
Zr 0.500 0.000 0.000
Ta 0.000 0.000 0.000
Tc 0.500 0.500 0.500

The symmetry is Pm-3m, No. 221. Its crystal system is cubic. The value obtained for the size of the total moment is 0.00 μB/cell.

=====

Arrangement 2

DFT (PBE) results for a geometry-optimized Zr3TaTc structure.

Cell: 4.939 4.939 4.939 Å, 90.00 90.00 90.00°
Fractional positions:
Zr 0.000 0.000 0.500
Zr 0.000 0.500 0.000
Zr 0.500 0.000 0.000
Ta 0.500 0.500 0.500
Tc 0.000 0.000 0.000

The symmetry is Pm-3m, No. 221. Its crystal system is cubic. The value obtained for the size of the total moment is 0.00 μB/cell.

=====

What are the relative energies? In kJ/mol of atoms: arrangement 1 59.8; arrangement 2 0.0.

=====

Arrangement 1

DFT (PBE) results for a geometry-optimized ZrTa2Tc2 structure.

Cell: 7.585 7.585 3.145 Å, 90.00 90.00 90.00°
Fractional positions:
Zr 0.000 0.000 0.000
Zr 0.500 0.500 0.000
Ta 0.150 0.350 0.500
Ta 0.350 0.850 0.500
Ta 0.650 0.150 0.500
Ta 0.850 0.650 0.500
Tc 0.145 0.645 0.000
Tc 0.355 0.145 0.000
Tc 0.645 0.855 0.000
Tc 0.855 0.355 0.000

The symmetry is P4/mbm, No. 127. Its crystal system is tetragonal. The value obtained for the size of the total moment is 0.00 μB/cell.

=====

Arrangement 2

DFT (PBE) results for a geometry-optimized ZrTa2Tc2 structure.

Cell: 8.924 8.924 3.208 Å, 90.00 90.00 159.24°
Fractional positions:
Zr 0.000 0.000 0.000
Ta 0.182 0.818 0.000
Ta 0.818 0.182 0.000
Tc 0.401 0.599 0.500
Tc 0.599 0.401 0.500

The symmetry is Cmmm, No. 65. Its crystal system is orthorhombic. The value obtained for the size of the total moment is 0.00 μB/cell.

=====

What are the relative energies? In kJ/mol of atoms: arrangement 1 4.3; arrangement 2 0.0.

=====

Arrangement 1

DFT (PBE) results for a geometry-optimized Ta3Te5 structure.

Cell: 6.247 6.247 4.852 Å, 90.00 90.00 109.98°
Fractional positions:
Ta 0.000 0.000 0.000
Ta 0.226 0.774 0.500
Ta 0.774 0.226 0.500
Te 0.000 0.500 0.000
Te 0.229 0.229 0.500
Te 0.500 0.000 0.000
Te 0.500 0.500 0.000
Te 0.771 0.771 0.500

The symmetry is Cmmm, No. 65. Its crystal system is orthorhombic. The value obtained for the size of the total moment is 0.00 μB/cell.

=====

Arrangement 2

DFT (PBE) results for a geometry-optimized Ta3Te5 structure.

Cell: 8.314 8.295 10.838 Å, 49.34 49.19 81.46°
Fractional positions:
Ta 0.196 0.804 0.196
Ta 0.305 0.695 0.695
Ta 0.398 0.398 0.102
Ta 0.695 0.305 0.305
Ta 0.804 0.196 0.804
Ta 0.898 0.898 0.602
Te 0.098 0.205 0.130
Te 0.205 0.098 0.567
Te 0.370 0.934 0.294
Te 0.414 0.414 0.586
Te 0.433 0.870 0.795
Te 0.599 0.706 0.066
Te 0.706 0.599 0.630
Te 0.870 0.433 0.902
Te 0.914 0.914 0.086
Te 0.934 0.370 0.401

The symmetry is Fmm2, No. 42. Its crystal system is orthorhombic. The value obtained for the size of the total moment is 0.00 μB/cell.

=====

What are the relative energies? In kJ/mol of atoms: arrangement 1 16.9; arrangement 2 0.0.